# FeCoHg2 GGA-PBE optimized geometry
data_FeCoHg2
_chemical_formula_sum 'Fe2 Co2 Hg4'
_cell_length_a 6.500
_cell_length_b 6.517
_cell_length_c 3.051
_cell_angle_alpha 90.00
_cell_angle_beta 90.00
_cell_angle_gamma 90.00
_space_group_name_H-M_alt 'C m m m'
_space_group_IT_number 65
_space_group_name_Hall '-C 2 2'
loop_
_atom_site_label
_atom_site_type_symbol
_atom_site_fract_x
_atom_site_fract_y
_atom_site_fract_z
_atom_site_occupancy
Fe1 Fe 0.000 0.000 0.000 1
Co1 Co 0.000 0.500 0.000 1
Hg1 Hg 0.250 0.250 0.500 1
# Fermi-level density of states   1.1189 states/eV/atom
# ΔE to the lowest computed polymorph   22.72 kJ per mole of atoms
# Final energy   -28.128 eV for the cell shown
# Formation enthalpy at 0 K   0.53 eV/atom